ZnAgSN2: optimized geometry, PBE-GGA.

Calculated values
Electronic total energy   -3.2422 eV per atom
V   17.8 Å³ per atom
Energy above the most stable polymorph in this dataset   273 meV per atom
Uncorrected formation energy   1738 meV/atom

a = 4.000 Å, b = 4.000 Å, c = 5.553 Å
α = 90.00°, β = 90.00°, γ = 90.00°
Space group P4/mmm (No. 123)
Inequivalent atoms, fractional coordinates:
Zn  0.000  0.000  0.000 (multiplicity 1)
Ag  0.500  0.500  0.500 (multiplicity 1)
S  0.500  0.500  0.000 (multiplicity 1)
N  0.000  0.500  0.500 (multiplicity 2)